The following is a PBE-GGA calculation of an optimized crystal structure of Cs5K2CdHg2, from the Alexandria database.

The value obtained for the total energy is -0.8907 eV/atom. As for the crystal system: tetragonal. Its formation energy is -2.13 kcal/mol of atoms.

Unit cell a=16.1342 b=16.1342 c=5.0703 alpha=90.00 beta=90.00 gamma=90.00
Space group P4/mbm (No. 127)
One atom of each set of equivalent atoms:
Cs 0.0000 0.5000 0.0000 (multiplicity 2)
Cs 0.0559 0.1981 0.0000 (multiplicity 8)
K 0.1869 0.6869 0.5000 (multiplicity 4)
Cd 0.0000 0.0000 0.5000 (multiplicity 2)
Hg 0.1360 0.3640 0.5000 (multiplicity 4)